Below is a relaxed structure of AlIn2RuC, with properties calculated at the PBE-GGA level.

Electronic total energy, Ha/atom: -0.1772
Space group: P4/mmm
DFT formation energy, eV per atom: 0.72
V, Å³/cell: 90.2

Geometry as POSCAR:
```
AlIn2RuC
1.0
4.788 0.000 0.000
0.000 4.788 0.000
0.000 0.000 3.933
Ru C Al In
1 1 1 2
Cartesian
0.000 0.000 1.966
0.000 0.000 0.000
2.394 2.394 1.966
0.000 2.394 0.000
2.394 0.000 0.000
```